Entry 1:
Entry from the Alexandria database: crystalline Pr2Y2Tl3 at its relaxed geometry (PBE-GGA).

abc: 3.839 6.971 9.105
angles: 110.50 89.93 105.94
Positions (direct):
Y: 0.376 0.750 0.176
Tl: 0.000 0.000 0.000
Pr: 0.889 0.775 0.556
Tl: 0.692 0.386 0.208
Y: 0.624 0.250 0.824
Tl: 0.308 0.614 0.792
Pr: 0.111 0.225 0.444

Properties
DFT formation energy = -1.5 eV per formula unit
Raw total energy = -31.06 eV per formula unit



Entry 2:
Entry from the Alexandria database: crystalline Pr4Y3Tl4 at its relaxed geometry (PBE-GGA).

abc: 3.684 9.531 11.051
angles: 115.54 99.59 90.00
Positions (direct):
Tl: 0.500 0.779 0.000
Pr: 0.338 0.164 0.676
Tl: 0.723 0.223 0.445
Tl: 0.277 0.777 0.555
Pr: 0.338 0.512 0.676
Pr: 0.662 0.836 0.324
Tl: 0.500 0.221 0.000
Y: 0.093 0.093 0.186
Y: 0.000 0.500 0.000
Y: 0.907 0.907 0.814
Pr: 0.662 0.488 0.324

Properties
DFT formation energy = -3.0 eV per formula unit
Raw total energy = -50.96 eV per formula unit



Entry 3:
Entry from the Alexandria database: crystalline Pr8YTl2 at its relaxed geometry (PBE-GGA).

abc: 5.915 9.084 9.084
angles: 119.72 102.42 102.42
Positions (direct):
Pr: 0.114 0.093 0.318
Pr: 0.296 0.596 0.596
Tl: 0.000 0.306 0.694
Pr: 0.500 0.220 0.780
Pr: 0.886 0.682 0.907
Pr: 0.886 0.907 0.682
Tl: 0.000 0.694 0.306
Y: 0.500 0.000 0.000
Pr: 0.500 0.780 0.220
Pr: 0.704 0.404 0.404
Pr: 0.114 0.318 0.093

Properties
DFT formation energy = -0.4 eV per formula unit
Raw total energy = -49.83 eV per formula unit



Question: Which formula does entry 1 have?
Answer: Pr2Y2Tl3



Question: Among the records above, which one has the highest DFT formation energy?
Answer: Pr8YTl2



Question: Which of these has the highest DFT formation energy?
Answer: Pr8YTl2



Question: What is the DFT formation energy in the first record?
Answer: -1.5 eV per formula unit